VASP calculation (GGA-PBE) on a relaxed TlCr2Cd crystal. Values from VASP.

Structure (Quantum ESPRESSO input):
```
&SYSTEM
  ibrav = 0, nat = 8, ntyp = 3
/
ATOMIC_SPECIES
Tl 204.38 Tl.upf
Cr 52.00 Cr.upf
Cd 112.41 Cd.upf
ATOMIC_POSITIONS crystal
Tl 0.0000 0.0000 0.0000
Tl 0.7500 0.2500 0.5000
Cr 0.1266 0.1250 0.5016
Cr 0.3750 0.8734 0.9984
Cr 0.6234 0.6250 0.4984
Cr 0.8750 0.3766 0.0016
Cd 0.2500 0.7500 0.5000
Cd 0.5000 0.5000 0.0000
CELL_PARAMETERS angstrom
-3.8440 3.8440 3.0425
3.8440 -3.8440 3.0425
3.8440 3.8440 -3.0425
```

Output
For the total energy, the calculation gives -4.748 eV per atom. For the density of states at the Fermi level, the calculation gives 4.64 states/eV per cell. Its formation enthalpy at 0 K is 0.884 eV/atom. Its total magnetization is 2.14 μB per atom. As for the space group: No. 122.